No. 1
FeCu2AsPb | GGA-PBE | optimized geometry

POSCAR file:
```
FeCu2AsPb
1.0
-1.0403 -1.5707 4.5510
0.8448 -4.7038 -1.4303
4.7416 0.4724 1.2469
Cu As Pb Fe
2 1 1 1
direct
0.0000 0.0000 0.5000
0.5000 0.0000 0.0000
0.5000 0.5000 0.5000
0.0000 0.0000 0.0000
0.0000 0.5000 0.0000
```

Output
SG: P4/mmm
Energy relative to the elements, eV/atom: 1.315

No. 2
FeCu2AsS | GGA-PBE | optimized geometry

POSCAR file:
```
FeCu2AsS
1.0
-3.3597 2.2817 -2.1427
-2.9316 -2.2857 2.1626
0.0086 3.1500 3.3409
Cu As Fe S
2 1 1 1
direct
0.5000 0.0000 0.0000
0.0000 0.0000 0.5000
0.0000 0.5000 0.0000
0.0000 0.0000 0.0000
0.5000 0.5000 0.5000
```

Output
SG: P4/mmm
Formation energy (no corrections), kJ per mole of atoms: 81.4

No. 3
FeCuAs2Se | GGA-PBE | optimized geometry

POSCAR file:
```
FeCuAs2Se
1.0
4.3538 0.0000 0.0000
0.0000 4.3538 0.0000
0.0000 0.0000 5.2778
Se Cu As Fe
1 1 2 1
direct
0.0000 0.0000 0.5000
0.5000 0.5000 0.5000
0.5000 0.0000 0.0000
0.0000 0.5000 0.0000
0.0000 0.0000 0.0000
```

Output
SG: P4/mmm
Formation energy (no corrections), kJ per mole of atoms: 53.3
Distance to the lowest polymorph of the same formula, kJ per mole of atoms: 0.0

no.,calculated volume (Å³/atom),DOS(E_F) (states/eV/f.u.),total magnetic moment (μB per cell)
1,24.2,5.02,2.93
2,18.1,3.21,1.57
3,20.0,4.82,0.08